This record from the Alexandria database describes an optimized crystal structure of SrPm2Sn2Hg2. The functional is PBE-GGA.

Results
For the magnetization, the calculation gives 0.0 μB/cell. As for the space group: R-3m (166). The value obtained for the total DFT energy (no corrections) is -3.2104 eV/atom.

abc: 5.1133 5.1133 9.9713
angles: 75.14 75.14 60.00
Sites, in units of the cell vectors:
Sr: 0.0000 0.0000 0.0000
Pm: 0.1325 0.1325 0.6025
Pm: 0.8675 0.8675 0.3975
Sn: 0.7402 0.7402 0.7793
Sn: 0.2598 0.2598 0.2207
Hg: 0.5684 0.5684 0.2949
Hg: 0.4316 0.4316 0.7051